DFT (GGA-PBE) results for TlCdSF after structural relaxation.

extended XYZ file:
```
8
Lattice="2.0232 1.1681 11.7367 -2.0232 1.1681 11.7367 0.0000 -2.3362 11.7367" Properties=species:S:1:pos:R:3 pbc="T T T"
Cd 0.0000 0.0000 13.2543
Cd 0.0000 0.0000 21.9558
F 0.0000 0.0000 11.0064
F 0.0000 0.0000 24.2037
S 0.0000 0.0000 2.8905
S 0.0000 0.0000 32.3196
Tl 0.0000 0.0000 7.1534
Tl 0.0000 0.0000 28.0567
```

Output
- E above lowest polymorph: 1.26 kcal/mol of atoms
- Crystal system: trigonal
- Density: 7.34 g/cm3
- Volume: 166 Å³/cell